# 1
Here is an optimized crystal structure of Pr8DyMg2 from Alexandria. Energies are from PBE.

The structure in POSCAR format:
```
Pr8DyMg2
1.0
8.995 -2.614 0.000
8.995 2.614 0.000
-2.712 0.000 7.873
Pr Dy Mg
8 1 2
direct
0.050 0.050 0.235 Pr
0.141 0.141 0.697 Pr
0.316 0.316 0.562 Pr
0.405 0.405 0.039 Pr
0.595 0.595 0.961 Pr
0.684 0.684 0.438 Pr
0.859 0.859 0.303 Pr
0.950 0.950 0.765 Pr
0.500 0.500 0.500 Dy
0.227 0.227 0.133 Mg
0.773 0.773 0.867 Mg
```

Properties
- crystal system = monoclinic
- excess energy over the best structure of this formula in the dataset (meV/atom) = 0.0



# 2
Here is an optimized crystal structure of CsScTl3 from Alexandria. Energies are from PBE.

The structure in POSCAR format:
```
CsScTl3
1.0
6.297 0.000 0.000
0.000 6.297 0.000
0.000 0.000 6.297
Cs Sc Tl
1 1 3
direct
0.000 0.000 0.000 Cs
0.500 0.500 0.500 Sc
0.000 0.000 0.500 Tl
0.000 0.500 0.000 Tl
0.500 0.000 0.000 Tl
```

Properties
- crystal system = cubic



Number 1: formation enthalpy at 0 K 0.05 eV per formula unit, D(E_F) 1.463 states/eV per atom. Number 2: formation enthalpy at 0 K 5.69 eV per formula unit, D(E_F) 2.097 states/eV per atom.